CrSiP: optimized geometry, GGA-PBEsol.

abc: 6.401 6.401 3.174
angles: 90.00 90.00 120.00
Positions (direct):
Cr: 0.000 0.738 0.000
Cr: 0.262 0.262 0.000
Cr: 0.738 0.000 0.000
Si: 0.000 0.000 0.500
Si: 0.333 0.667 0.000
Si: 0.667 0.333 0.000
P: 0.000 0.368 0.500
P: 0.368 0.000 0.500
P: 0.632 0.632 0.500

Computed properties:
**E_form (uncorrected)**: 152.3 meV per atom
**Energy relative to the lowest polymorph listed for this composition**: 65 meV per atom
**Total magnetic moment**: 0.00 μB/f.u.
**E**: -7.108 eV per atom